A geometry-optimized MgTc3H structure. Source: Alexandria via LeMat-Bulk, functional PBE.

## Properties
Relative energy among the computed polymorphs = 0 meV/atom
Space-group type = Pm-3m, No. 221
Electronic total energy = -6.928 eV/atom

Unit cell a=3.976 b=3.976 c=3.976 alpha=90.00 beta=90.00 gamma=90.00
Atoms (fractional coordinates):
Tc 0.000 0.000 0.500
Tc 0.000 0.500 0.000
Tc 0.500 0.000 0.000
Mg 0.500 0.500 0.500
H 0.000 0.000 0.000



A geometry-optimized Na3InAg structure. Source: Alexandria via LeMat-Bulk, functional PBE.

## Properties
Relative energy among the computed polymorphs = 0 meV/atom
Calculated formation energy = -0.06 eV/atom
Space-group type = P2_1/m, No. 11
Electronic total energy = -1.969 eV/atom

Unit cell a=5.235 b=6.159 c=8.520 alpha=70.15 beta=90.00 gamma=90.00
Atoms (fractional coordinates):
Na 0.624 0.007 0.109
Na 0.124 0.465 0.711
Na 0.624 0.805 0.513
Na 0.124 0.293 0.134
Na 0.624 0.633 0.936
Na 0.124 0.091 0.538
Ag 0.124 0.935 0.920
Ag 0.624 0.163 0.727
In 0.624 0.400 0.360
In 0.124 0.699 0.287



A geometry-optimized PrSm12Er2 structure. Source: Alexandria via LeMat-Bulk, functional PBE.

## Properties
Calculated formation energy = 0.16 eV/atom
Space-group type = Cmme, No. 67
Electronic total energy = -4.542 eV/atom

Unit cell a=6.770 b=6.770 c=24.900 alpha=90.00 beta=90.00 gamma=63.66
Atoms (fractional coordinates):
Sm 0.753 0.253 0.077
Sm 0.500 0.500 0.674
Sm 0.248 0.252 0.868
Sm 0.000 0.000 0.201
Sm 0.252 0.248 0.132
Sm 0.232 0.268 0.414
Sm 0.747 0.247 0.923
Sm 0.748 0.752 0.132
Sm 0.500 0.500 0.201
Sm 0.768 0.732 0.414
Sm 0.000 0.000 0.799
Sm 0.000 0.000 0.326
Sm 0.732 0.768 0.586
Sm 0.253 0.753 0.923
Sm 0.727 0.227 0.440
Sm 0.500 0.500 0.799
Sm 0.000 0.000 0.674
Sm 0.500 0.500 0.326
Sm 0.273 0.773 0.440
Sm 0.268 0.232 0.586
Sm 0.773 0.273 0.560
Sm 0.752 0.748 0.868
Sm 0.247 0.747 0.077
Sm 0.227 0.727 0.560
Er 0.500 0.000 0.733
Er 0.500 0.000 0.271
Er 0.000 0.500 0.729
Er 0.000 0.500 0.267
Pr 0.500 0.000 0.001
Pr 0.000 0.500 0.999



A geometry-optimized SrDyCd17 structure. Source: Alexandria via LeMat-Bulk, functional PBE.

## Properties
Calculated formation energy = -0.13 eV/atom
Space-group type = R3m, No. 160
Electronic total energy = -1.283 eV/atom

Unit cell a=7.726 b=7.726 c=7.726 alpha=82.07 beta=82.07 gamma=82.07
Atoms (fractional coordinates):
Cd 0.874 0.348 0.348
Cd 0.298 0.698 0.002
Cd 0.909 0.909 0.909
Cd 0.980 0.522 0.980
Cd 0.980 0.980 0.522
Cd 0.698 0.298 0.002
Cd 0.201 0.622 0.622
Cd 0.002 0.298 0.698
Cd 0.522 0.980 0.980
Cd 0.698 0.002 0.298
Cd 0.106 0.106 0.106
Cd 0.622 0.201 0.622
Cd 0.348 0.874 0.348
Cd 0.622 0.622 0.201
Cd 0.002 0.698 0.298
Cd 0.348 0.348 0.874
Cd 0.298 0.002 0.698
Sr 0.665 0.665 0.665
Dy 0.327 0.327 0.327



A geometry-optimized Re3H12Pd5 structure. Source: Alexandria via LeMat-Bulk, functional PBE.

## Properties
Space-group type = Ia-3d, No. 230
Electronic total energy = -4.864 eV/atom

Unit cell a=9.462 b=9.462 c=9.462 alpha=109.47 beta=109.47 gamma=109.47
Atoms (fractional coordinates):
Pd 0.500 0.500 0.000
Pd 0.750 0.125 0.875
Pd 0.000 0.000 0.500
Pd 0.375 0.250 0.125
Pd 0.875 0.625 0.750
Pd 0.625 0.875 0.250
Pd 0.250 0.375 0.625
Pd 0.500 0.000 0.000
Pd 0.000 0.000 0.000
Pd 0.500 0.000 0.500
Pd 0.375 0.125 0.750
Pd 0.500 0.500 0.500
Pd 0.000 0.500 0.500
Pd 0.000 0.500 0.000
Pd 0.625 0.750 0.875
Pd 0.750 0.625 0.375
Pd 0.875 0.250 0.625
Pd 0.125 0.375 0.250
Pd 0.250 0.875 0.125
Pd 0.125 0.750 0.375
Re 0.625 0.250 0.375
Re 0.875 0.750 0.125
Re 0.375 0.625 0.250
Re 0.750 0.875 0.625
Re 0.250 0.125 0.375
Re 0.875 0.125 0.250
Re 0.625 0.375 0.750
Re 0.125 0.875 0.750
Re 0.750 0.375 0.125
Re 0.375 0.750 0.625
Re 0.250 0.625 0.875
Re 0.125 0.250 0.875
H 0.332 0.765 0.414
H 0.765 0.433 0.351
H 0.433 0.765 0.851
H 0.235 0.668 0.086
H 0.933 0.582 0.168
H 0.168 0.082 0.933
H 0.351 0.933 0.765
H 0.265 0.851 0.933
H 0.086 0.918 0.351
H 0.351 0.418 0.086
H 0.567 0.332 0.918
H 0.918 0.832 0.567
H 0.582 0.933 0.668
H 0.149 0.735 0.567
H 0.414 0.265 0.332
H 0.418 0.351 0.586
H 0.586 0.735 0.668
H 0.235 0.567 0.649
H 0.918 0.086 0.851
H 0.067 0.649 0.735
H 0.265 0.414 0.832
H 0.414 0.149 0.582
H 0.586 0.851 0.418
H 0.649 0.067 0.235
H 0.433 0.668 0.082
H 0.832 0.914 0.265
H 0.832 0.918 0.067
H 0.332 0.567 0.418
H 0.168 0.086 0.735
H 0.418 0.067 0.332
H 0.735 0.149 0.067
H 0.086 0.168 0.235
H 0.082 0.914 0.149
H 0.149 0.414 0.082
H 0.567 0.235 0.149
H 0.668 0.235 0.586
H 0.582 0.649 0.414
H 0.851 0.586 0.918
H 0.735 0.586 0.168
H 0.082 0.168 0.433
H 0.914 0.082 0.649
H 0.914 0.832 0.765
H 0.649 0.582 0.914
H 0.668 0.433 0.582
H 0.765 0.332 0.914
H 0.067 0.418 0.832
H 0.933 0.351 0.265
H 0.851 0.265 0.433



A geometry-optimized Re2TcAg structure. Source: Alexandria via LeMat-Bulk, functional PBE.

## Properties
Relative energy among the computed polymorphs = 284 meV/atom
Calculated formation energy = 0.54 eV/atom
Space-group type = Cmmm, No. 65
Electronic total energy = -8.992 eV/atom

Unit cell a=4.855 b=4.855 c=2.771 alpha=90.00 beta=90.00 gamma=111.03
Atoms (fractional coordinates):
Ag 0.000 0.500 0.500
Tc 0.500 0.000 0.500
Re 0.500 0.500 0.000
Re 0.000 0.000 0.000



A geometry-optimized SiBi structure. Source: Alexandria via LeMat-Bulk, functional PBE.

## Properties
Space-group type = Cmcm, No. 63
Electronic total energy = -4.445 eV/atom

Unit cell a=4.216 b=15.669 c=3.620 alpha=90.00 beta=90.00 gamma=90.00
Atoms (fractional coordinates):
Bi 0.500 0.344 0.250
Bi 0.000 0.156 0.750
Bi 0.500 0.656 0.750
Bi 0.000 0.844 0.250
Si 0.000 0.545 0.750
Si 0.500 0.045 0.750
Si 0.000 0.455 0.250
Si 0.500 0.955 0.250



A geometry-optimized TlCu4Tc2 structure. Source: Alexandria via LeMat-Bulk, functional PBE.

## Properties
Calculated formation energy = 1.34 eV/atom
Space-group type = I4/mmm, No. 139
Electronic total energy = -4.297 eV/atom

Unit cell a=4.856 b=4.856 c=7.085 alpha=69.96 beta=69.96 gamma=90.00
Atoms (fractional coordinates):
Cu 0.000 0.500 0.000
Cu 0.791 0.791 0.419
Cu 0.209 0.209 0.581
Cu 0.500 0.000 0.000
Tc 0.411 0.411 0.179
Tc 0.589 0.589 0.821
Tl 0.000 0.000 0.000



A geometry-optimized CaMo2Br structure. Source: Alexandria via LeMat-Bulk, functional PBE.

## Properties
Relative energy among the computed polymorphs = 248 meV/atom
Space-group type = C2/m, No. 12
Electronic total energy = -6.074 eV/atom

Unit cell a=6.444 b=6.444 c=4.420 alpha=105.21 beta=105.21 gamma=30.41
Atoms (fractional coordinates):
Ca 0.250 0.250 0.250
Mo 0.527 0.527 0.450
Mo 0.973 0.973 0.050
Br 0.750 0.750 0.750